VASP calculation (GGA-PBE) on crystalline SeIN2F at its relaxed geometry.

a b c (Å): 3.8810 3.8810 6.1608
angles (deg): 90.00 90.00 90.00
Sites, in units of the cell vectors:
N  0.0000  0.5000  0.0000
N  0.5000  0.0000  0.0000
Se  0.0000  0.0000  0.5000
F  0.5000  0.5000  0.5000
I  0.0000  0.0000  0.0000

Summary:
Fermi-level density of states ... 3.6 states/eV/f.u.
ΔE_f (raw) ... 1.7391 eV per atom
Size of the total moment ... 0.00 μB per formula unit
Total DFT energy (no corrections) ... -0.218 Ry per atom

---

VASP calculation (GGA-PBE) on crystalline Mn2AlCoIr at its relaxed geometry.

a b c (Å): 4.8157 4.5893 4.8157
angles (deg): 90.00 90.00 90.00
Sites, in units of the cell vectors:
Co  0.5000  0.5000  0.5000
Ir  0.0000  0.0000  0.0000
Mn  0.0000  0.0000  0.5000
Mn  0.5000  0.0000  0.0000
Al  0.0000  0.5000  0.0000

Summary:
Fermi-level density of states ... 4.8 states/eV/f.u.
Size of the total moment ... 10.42 μB per formula unit
Total DFT energy (no corrections) ... -0.486 Ry per atom

---

VASP calculation (GGA-PBE) on crystalline Pr6Nd5In at its relaxed geometry.

a b c (Å): 5.1201 9.7039 9.7039
angles (deg): 107.14 105.30 105.30
Sites, in units of the cell vectors:
Nd  0.0000  0.6636  0.3364
Nd  0.5000  0.8326  0.1674
Nd  0.0000  0.3364  0.6636
Nd  0.5000  0.1674  0.8326
Nd  0.5000  0.5000  0.5000
Pr  0.7569  0.9200  0.5937
Pr  0.2431  0.0800  0.4063
Pr  0.7425  0.2425  0.2425
Pr  0.7569  0.5937  0.9200
Pr  0.2575  0.7575  0.7575
Pr  0.2431  0.4063  0.0800
In  0.0000  0.0000  0.0000

Summary:
Fermi-level density of states ... 15.0 states/eV/f.u.
Size of the total moment ... 0.00 μB per formula unit
Total DFT energy (no corrections) ... -0.343 Ry per atom

---

Which value of total DFT energy (no corrections) does entry 1 give?
-0.218 Ry per atom

---

Which value of Fermi-level density of states does entry 2 give?
4.8 states/eV/f.u.

---

The lowest total DFT energy (no corrections) belongs to which entry?
Mn2AlCoIr

---

Which value of total DFT energy (no corrections) does entry 2 give?
-0.486 Ry per atom